(1)
NaLa3Ni | PBE | optimized geometry

Cell lengths 5.6232, 5.6232, 5.6232 Å; angles 90.00, 90.00, 90.00 degrees
Fractional positions:
La 0.0000 0.0000 0.5000
La 0.0000 0.5000 0.0000
La 0.5000 0.0000 0.0000
Ni 0.0000 0.0000 0.0000
Na 0.5000 0.5000 0.5000

Properties
Formation enthalpy at 0 K = 25.8 meV/atom
E above lowest polymorph = 0 meV/atom
SG = No. 221

---

(2)
DyScSe2 | PBE | optimized geometry

Cell lengths 3.8776, 3.8776, 7.2285 Å; angles 74.44, 74.44, 60.00 degrees
Fractional positions:
Se 0.2557 0.2557 0.2329
Se 0.0766 0.0766 0.7701
Sc 0.6719 0.6719 0.9842
Dy 0.4958 0.4958 0.5127

Properties
E above lowest polymorph = 0 meV/atom
SG = No. 160
Energy relative to the elements, uncorrected = -1680 meV/atom

---

(3)
InOsI3 | PBE | optimized geometry

Cell lengths 5.5106, 5.5106, 5.5106 Å; angles 90.00, 90.00, 90.00 degrees
Each line ends with the local moment (μB).
Fractional positions:
In 0.5000 0.5000 0.5000  0.02
I 0.0000 0.0000 0.5000  0.01
Os 0.0000 0.0000 0.0000  1.12
I 0.5000 0.0000 0.0000  0.11
I 0.0000 0.5000 0.0000  0.03

Properties
SG = No. 221
Energy relative to the elements, uncorrected = 420 meV/atom

---

(4)
CoPd9Pt2 | PBE | optimized geometry

Cell lengths 3.9189, 3.9189, 11.7950 Å; angles 90.00, 90.00, 90.00 degrees
Each line ends with the local moment (μB).
Fractional positions:
Co 0.0000 0.0000 0.0000  2.14
Pd 0.0000 0.5000 0.5000  0.18
Pd 0.5000 0.0000 0.8404  0.31
Pd 0.5000 0.5000 0.0000  0.38
Pd 0.5000 0.0000 0.5000  0.18
Pd 0.5000 0.5000 0.3288  0.19
Pd 0.5000 0.5000 0.6712  0.19
Pd 0.0000 0.5000 0.8404  0.31
Pt 0.0000 0.0000 0.6684  0.22
Pd 0.0000 0.5000 0.1596  0.31
Pt 0.0000 0.0000 0.3316  0.22
Pd 0.5000 0.0000 0.1596  0.31

Properties
Formation enthalpy at 0 K = -2.4 meV/atom
SG = No. 123

---

(5)
MgNiSn | PBE | optimized geometry

Cell lengths 4.3394, 6.1894, 8.4864 Å; angles 90.00, 90.00, 90.00 degrees
Fractional positions:
Sn 0.7500 0.2810 0.1515
Sn 0.7500 0.2190 0.6515
Mg 0.7500 0.7108 0.6088
Mg 0.7500 0.7892 0.1088
Ni 0.7500 0.4833 0.8882
Mg 0.2500 0.2892 0.3912
Mg 0.2500 0.2108 0.8912
Ni 0.2500 0.9833 0.6118
Ni 0.7500 0.0167 0.3882
Sn 0.2500 0.7190 0.8485
Sn 0.2500 0.7810 0.3485
Ni 0.2500 0.5167 0.1118

Properties
Formation enthalpy at 0 K = -289.8 meV/atom
SG = No. 62

---

(6)
HoZrGe2 | PBE | optimized geometry

Cell lengths 3.9277, 3.9277, 7.1105 Å; angles 73.97, 73.97, 60.00 degrees
Fractional positions:
Zr 0.5000 0.5000 0.5000
Ge 0.2446 0.2446 0.2661
Ge 0.7554 0.7554 0.7339
Ho 0.0000 0.0000 0.0000

Properties
Formation enthalpy at 0 K = -723.5 meV/atom
E above lowest polymorph = 82 meV/atom
SG = No. 166

---

no.,uncorrected energy (eV per atom)
1,-4.35
2,-6.16
3,-3.30
4,-5.50
5,-4.08
6,-6.31